## one
DFT (PBE-GGA) results for crystalline Pr at its relaxed geometry.

- SG = No. 166

a = 3.648 Å, b = 3.648 Å, c = 3.648 Å
α = 61.46°, β = 61.46°, γ = 61.46°
Element x y z (fractional)
1 Pr 0.000 0.000 0.000

## two
DFT (PBE-GGA) results for crystalline Pr at its relaxed geometry.

- SG = No. 64

a = 7.048 Å, b = 7.048 Å, c = 3.759 Å
α = 90.00°, β = 90.00°, γ = 128.70°
Element x y z (fractional)
1 Pr 0.135 0.865 0.959
2 Pr 0.365 0.635 0.459
3 Pr 0.635 0.365 0.541
4 Pr 0.865 0.135 0.041

Compare the structures above. Which one is the least stable? two is.